# Nd2NiSb, optimized geometry, DFT PBE
data_Nd2NiSb
_space_group_name_H-M_alt 'P 1 21/m 1'
_space_group_IT_number 11
_space_group_name_Hall '-P 2yb'
_cell_length_a 6.2867
_cell_length_b 4.1487
_cell_length_c 8.6574
_cell_angle_alpha 90.00
_cell_angle_beta 111.00
_cell_angle_gamma 90.00
loop_
_atom_site_label
_atom_site_type_symbol
_atom_site_fract_x
_atom_site_fract_y
_atom_site_fract_z
Nd1 Nd 0.2191 0.2500 0.4571
Nd2 Nd 0.2198 0.2500 0.8955
Ni1 Ni 0.3687 0.7500 0.7151
Sb1 Sb 0.3339 0.7500 0.2049
# * volume: 26.35 Å³/atom
# * VASP energy: -5.547 eV per atom
# * total magnetic moment: 0.00 μB per cell



# NdNiSb, optimized geometry, DFT PBE
data_NdNiSb
_space_group_name_H-M_alt 'P 1 21/c 1'
_space_group_IT_number 14
_space_group_name_Hall '-P 2ybc'
_cell_length_a 6.0356
_cell_length_b 6.1078
_cell_length_c 7.9504
_cell_angle_alpha 90.00
_cell_angle_beta 113.54
_cell_angle_gamma 90.00
loop_
_atom_site_label
_atom_site_type_symbol
_atom_site_fract_x
_atom_site_fract_y
_atom_site_fract_z
Nd1 Nd 0.1907 0.1307 0.3720
Ni1 Ni 0.1973 0.5949 0.5226
Sb1 Sb 0.3793 0.6219 0.2821
# * volume: 22.39 Å³/atom
# * VASP energy: -5.585 eV per atom
# * total magnetic moment: 0.00 μB per cell



# Nd8Ni2Sb, optimized geometry, DFT PBE
data_Nd8Ni2Sb
_space_group_name_H-M_alt 'C 1 2/m 1'
_space_group_IT_number 12
_space_group_name_Hall '-C 2y'
_cell_length_a 8.7452
_cell_length_b 13.7048
_cell_length_c 5.5410
_cell_angle_alpha 90.00
_cell_angle_beta 103.67
_cell_angle_gamma 90.00
loop_
_atom_site_label
_atom_site_type_symbol
_atom_site_fract_x
_atom_site_fract_y
_atom_site_fract_z
Nd1 Nd 0.0000 0.2468 0.0000
Nd2 Nd 0.1073 0.5000 0.8046
Nd3 Nd 0.2017 0.1254 0.5772
Ni1 Ni 0.0000 0.3027 0.5000
Sb1 Sb 0.0000 0.0000 0.0000
# * volume: 29.33 Å³/atom
# * VASP energy: -5.108 eV per atom
# * total magnetic moment: 0.00 μB per cell